# 1
VASP calculation (GGA-PBE) on a geometry-optimized NaTa2NbSb structure.

DFT total energy: -5.783 eV/atom
Uncorrected formation energy: 10.30 eV per formula unit

Lattice parameters (Å, degrees): 4.7000 4.7997 4.7000 90.00 90.00 90.00
Atoms (fractional coordinates):
Sb 0.0000 0.5000 0.0000
Nb 0.5000 0.5000 0.5000
Na 0.0000 0.0000 0.0000
Ta 0.0000 0.0000 0.5000
Ta 0.5000 0.0000 0.0000

***

# 2
VASP calculation (GGA-PBE) on a geometry-optimized Co9Ni11Pt4 structure.

DFT total energy: -6.280 eV/atom
Calculated formation energy: 41.6 meV per atom

Lattice parameters (Å, degrees): 10.9792 10.9792 2.5898 90.00 90.00 113.48
Atoms (fractional coordinates):
Co 0.1750 0.6103 0.5000
Co 0.8250 0.3897 0.5000
Co 0.6103 0.1750 0.5000
Co 0.3897 0.8250 0.5000
Co 0.9964 0.8031 0.5000
Co 0.0036 0.1969 0.5000
Co 0.8031 0.9964 0.5000
Co 0.1969 0.0036 0.5000
Co 0.5000 0.5000 0.5000
Ni 0.9771 0.6008 0.0000
Ni 0.0229 0.3992 0.0000
Ni 0.6008 0.9771 0.0000
Ni 0.3992 0.0229 0.0000
Ni 0.3775 0.6225 0.0000
Ni 0.6225 0.3775 0.0000
Ni 0.1921 0.8079 0.0000
Ni 0.8079 0.1921 0.0000
Ni 0.0000 0.0000 0.0000
Ni 0.8058 0.8058 0.0000
Ni 0.1942 0.1942 0.0000
Pt 0.7594 0.5908 0.5000
Pt 0.2406 0.4092 0.5000
Pt 0.5908 0.7594 0.5000
Pt 0.4092 0.2406 0.5000

***

# 3
VASP calculation (GGA-PBE) on a geometry-optimized Tm2Pd2Pt structure.

Energy above the most stable polymorph in this dataset: 0.00 eV/f.u.
DFT total energy: -5.984 eV/atom
Calculated formation energy: -909.7 meV per atom

Lattice parameters (Å, degrees): 4.6484 4.6484 5.8397 90.00 113.46 119.99
Atoms (fractional coordinates):
Tm 0.7986 0.3993 0.1979
Tm 0.2014 0.6007 0.8021
Pd 0.3887 0.1943 0.5830
Pd 0.6113 0.8057 0.4170
Pt 0.0000 0.0000 0.0000

***

# 4
VASP calculation (GGA-PBE) on a geometry-optimized YNiHg2 structure.

DFT total energy: -3.417 eV/atom
Calculated formation energy: -204.7 meV per atom

Lattice parameters (Å, degrees): 4.6353 4.6353 5.4068 64.38 64.38 59.73
Atoms (fractional coordinates):
Hg 0.0232 0.0232 0.9306
Hg 0.7931 0.7931 0.6209
Ni 0.4413 0.4413 0.6776
Y 0.2424 0.2424 0.2709